[1]
First-principles (PBE-GGA) data for an optimized crystal structure of MgAl2P, as listed in the Alexandria database.

Results
The value obtained for the relative energy among the computed polymorphs is 0.031 eV per atom. Its formation energy is -0.12 eV per atom.

Structure (POSCAR):
```
MgAl2P
1.0
4.504 -1.724 0.000
4.504 1.724 0.000
-2.152 0.000 4.807
Mg Al P
1 2 1
Cartesian
0.000 0.000 0.000
4.205 0.000 2.935
6.688 0.000 1.795
2.537 0.000 0.006
```

***

[2]
First-principles (PBE-GGA) data for an optimized crystal structure of InOs2Br, as listed in the Alexandria database.

Results
The value obtained for the relative energy among the computed polymorphs is 0.879 eV per atom. For the uncorrected formation energy, the calculation gives 1.35 eV per atom.

Structure (POSCAR):
```
InOs2Br
1.0
-2.120 2.120 3.895
2.120 -2.120 3.895
2.120 2.120 -3.895
In Os Br
1 2 1
Cartesian
0.000 0.000 0.000
2.120 0.000 1.948
0.000 0.000 3.895
0.000 2.120 1.948
```

***

[3]
First-principles (PBE-GGA) data for an optimized crystal structure of Dy4Tl3S8, as listed in the Alexandria database.

Results
For the uncorrected formation energy, the calculation gives -1.36 eV per atom.

Structure (POSCAR):
```
Dy4Tl3S8
1.0
5.780 -5.756 0.000
5.780 5.756 0.000
-5.485 0.000 5.859
Dy Tl S
4 3 8
Cartesian
0.000 0.000 0.000
-2.743 0.000 2.930
2.890 2.878 0.000
2.890 -2.878 0.000
0.147 2.878 2.930
0.147 -2.878 2.930
3.037 0.000 2.930
-0.051 0.000 2.717
-2.701 0.000 5.705
3.037 3.034 2.930
5.780 2.987 0.000
5.780 -2.987 0.000
3.037 -3.034 2.930
8.776 0.000 0.155
6.126 0.000 3.142
```

***

[4]
First-principles (PBE-GGA) data for an optimized crystal structure of Tm3In2Pd2, as listed in the Alexandria database.

Results
Its formation energy is -0.71 eV per atom.

Structure (POSCAR):
```
Tm3In2Pd2
1.0
2.083 -11.015 0.000
2.083 11.015 0.000
0.000 0.000 3.526
Tm In Pd
3 2 2
Cartesian
0.000 0.000 0.000
2.083 7.263 0.000
2.083 -7.263 0.000
2.083 1.788 1.763
2.083 -1.788 1.763
2.083 4.620 1.763
2.083 -4.620 1.763
```

***

[5]
First-principles (PBE-GGA) data for an optimized crystal structure of Sb5Au, as listed in the Alexandria database.

Results
The value obtained for the relative energy among the computed polymorphs is 0.479 eV per atom. For the uncorrected formation energy, the calculation gives 0.49 eV per atom.

Structure (POSCAR):
```
Sb5Au
1.0
0.000 4.379 4.379
4.379 0.000 4.379
4.379 4.379 0.000
Sb Au
5 1
Cartesian
0.000 0.000 0.000
5.469 3.289 3.289
3.289 5.469 3.289
3.289 3.289 5.469
5.469 5.469 5.469
2.190 2.190 2.190
```

***

[6]
First-principles (PBE-GGA) data for an optimized crystal structure of Li2LaMn, as listed in the Alexandria database.

Results
The value obtained for the relative energy among the computed polymorphs is 0.000 eV per atom. Its formation energy is 0.24 eV per atom.

Structure (POSCAR):
```
Li2LaMn
1.0
5.614 -1.708 0.000
5.614 1.708 0.000
-1.805 0.000 4.565
Li La Mn
2 1 1
Cartesian
2.086 0.000 0.947
7.337 0.000 3.618
-0.903 0.000 2.283
5.614 0.000 0.000
```